Here is a relaxed RbPrTc crystal from the Open Quantum Materials Database. Energies are from GGA-PBE.

extended XYZ file:
```
3
Lattice="-0.666 -4.707 -1.936 -2.445 -3.582 2.745 -4.684 -1.558 -1.406" Properties=species:S:1:pos:R:3 pbc="T T T"
Pr 0.000 0.000 0.000
Rb -1.949 -2.462 -0.149
Tc -5.846 -7.385 -0.447
```

Results
electronic total energy	-3.717	eV per atom
ρ	5.634	g cm⁻³
magnetization	1.110	μB per formula unit

---

Here is a relaxed SrNiGe crystal from the Open Quantum Materials Database. Energies are from GGA-PBE.

extended XYZ file:
```
12
Lattice="5.720 0.000 0.000 0.000 4.175 0.000 0.000 0.000 11.391" Properties=species:S:1:pos:R:3 pbc="T T T"
Ge 0.775 1.044 1.468
Ge 3.635 1.044 4.227
Ge 2.085 3.132 7.163
Ge 4.945 3.132 9.923
Ni 0.576 3.132 0.503
Ni 3.436 3.132 5.193
Ni 2.284 1.044 6.198
Ni 5.144 1.044 10.888
Sr 3.543 3.132 1.636
Sr 0.683 3.132 4.059
Sr 5.037 1.044 7.332
Sr 2.177 1.044 9.755
```

Results
electronic total energy	-4.479	eV per atom
ρ	5.346	g cm⁻³
magnetization	0.007	μB per formula unit

---

Question: What is the ρ in the second record?
Answer: 5.346 g cm⁻³

---

Question: What is the formula in the second record?
Answer: SrNiGe